NdGa2Ni4 | PBE | relaxed

Its energy of formation from the pure elements is -0.366 eV per atom.

Lattice parameters (Å, degrees): 4.0882 4.0882 22.4919 90.00 90.00 120.00
Last column: nearest neighbours and their distance in Å.
Space group R-3m (No. 166, hexagonal axes)
Symmetry-distinct sites (fractional):
Nd 0.0000 0.0000 0.0000 [3 per cell]  6 Ga 3.09, 8 Ni 3.15-3.41
Ga 0.0000 0.0000 0.2450 [6 per cell]  7 Ni 2.36-2.63
Ni 0.0000 0.0000 0.1401 [6 per cell]  4 Ga 2.36-2.63, 3 Ni 2.46
Ni 0.0000 0.0000 0.4426 [6 per cell]  3 Ga 2.41, 4 Ni 2.46-2.58

***

HoMgCo2Ge2 | PBE | relaxed

Its energy of formation from the pure elements is -0.477 eV per atom.

Lattice parameters (Å, degrees): 4.1234 4.1234 6.5840 90.00 90.00 120.00
Last column: nearest neighbours and their distance in Å.
Space group P-3m1 (No. 164)
Symmetry-distinct sites (fractional):
Ho 0.0000 0.0000 0.0000 [1 per cell]  6 Ge 2.98, 2 Mg 3.29
Mg 0.0000 0.0000 0.5000 [1 per cell]  6 Co 2.56, 6 Ge 2.82
Co 0.3333 0.6667 0.6436 [2 per cell]  4 Ge 2.45, 3 Mg 2.56
Ge 0.3333 0.6667 0.2717 [2 per cell]  4 Co 2.45

***

Cr3AgCl | PBE | relaxed

The energy relative to the elements, uncorrected is 0.9347 eV per atom.

Lattice parameters (Å, degrees): 4.1576 4.1576 4.1576 90.00 90.00 90.00
Last column: nearest neighbours and their distance in Å.
Space group Pm-3m (No. 221)
Symmetry-distinct sites (fractional):
Cr 0.0000 0.0000 0.5000 [3 per cell]  2 Cl 2.08
Ag 0.5000 0.5000 0.5000 [1 per cell]  12 Cr 2.94
Cl 0.0000 0.0000 0.0000 [1 per cell]  6 Cr 2.08

***

Co2SiTcH | PBE | relaxed

Its energy is -34.0 eV for the cell shown.

Lattice parameters (Å, degrees): 3.5843 3.5843 3.8428 90.00 90.00 90.00
Last column: nearest neighbours and their distance in Å.
Space group P4/mmm (No. 123)
Symmetry-distinct sites (fractional):
Co 0.0000 0.5000 0.0000 [2 per cell]  2 H 1.79
Si 0.0000 0.0000 0.5000 [1 per cell]  4 Tc 2.53, 8 Co 2.63
Tc 0.5000 0.5000 0.5000 [1 per cell]  2 H 1.92
H 0.5000 0.5000 0.0000 [1 per cell]  4 Co 1.79, 2 Tc 1.92

***

Ba2NaCuCl6 | PBE | relaxed

The energy relative to the elements, uncorrected is -1.9153 eV per atom.

Lattice parameters (Å, degrees): 6.2124 7.7531 8.0010 112.33 97.90 112.55
Last column: nearest neighbours and their distance in Å.
Space group P-1 (No. 2)
Symmetry-distinct sites (fractional):
Ba 0.2451 0.0880 0.3048 [2 per cell]  7 Cl 3.02-3.29
Na 0.5000 0.5000 0.0000 [1 per cell]  6 Cl 2.78-3.11
Cu 0.0000 0.5000 0.5000 [1 per cell]  2 Cl 2.12
Cl 0.0809 0.2965 0.0797 [2 per cell]  1 Na 2.78, 1 Ba 3.02
Cl 0.3069 0.5040 0.6576 [2 per cell]  1 Cu 2.12
Cl 0.3188 0.0413 0.6805 [2 per cell]  1 Na 3.11, 3 Ba 3.15-3.29, 1 Cu 3.44

***

SmY2Cd | PBE | relaxed

Its energy of formation from the pure elements is -0.015 eV per atom.

Lattice parameters (Å, degrees): 7.7789 7.7789 7.7789 90.00 90.00 90.00
Last column: nearest neighbours and their distance in Å.
Space group F-43m (No. 216)
Symmetry-distinct sites (fractional):
Sm 0.0000 0.0000 0.0000 [4 per cell]  4 Y 3.37, 4 Cd 3.37
Y 0.0000 0.0000 0.5000 [4 per cell]  4 Cd 3.37, 4 Y 3.37
Y 0.2500 0.2500 0.7500 [4 per cell]  4 Y 3.37, 4 Sm 3.37
Cd 0.2500 0.2500 0.2500 [4 per cell]  4 Sm 3.37, 4 Y 3.37

***

TlBOF2 | PBE | relaxed

The energy relative to the elements, uncorrected is -0.0468 eV per atom.

Lattice parameters (Å, degrees): 4.5046 4.5046 4.1469 90.00 90.00 90.00
Last column: nearest neighbours and their distance in Å.
Space group P4/mmm (No. 123)
Symmetry-distinct sites (fractional):
Tl 0.0000 0.0000 0.0000 [1 per cell]  2 O 2.07, 4 F 2.25
B 0.5000 0.5000 0.5000 [1 per cell]  8 F 3.06, 4 O 3.19
O 0.0000 0.0000 0.5000 [1 per cell]  2 Tl 2.07
F 0.0000 0.5000 0.0000 [2 per cell]  2 Tl 2.25

***

PrTaOs | PBE | relaxed

Its energy of formation from the pure elements is -0.173 eV per atom.

Lattice parameters (Å, degrees): 4.4970 4.4970 6.9470 90.00 90.00 90.00
Last column: nearest neighbours and their distance in Å.
Space group P4/nmm (No. 129, origin choice 2)
Symmetry-distinct sites (fractional):
Pr 0.2500 0.2500 0.1423 [2 per cell]  5 Os 3.13-3.38, 4 Ta 3.35
Ta 0.2500 0.7500 0.5000 [2 per cell]  4 Os 2.61
Os 0.2500 0.2500 0.6914 [2 per cell]  4 Ta 2.61

***

Pa2AgSe6 | PBE | relaxed

The energy relative to the elements, uncorrected is -0.9157 eV per atom.

Lattice parameters (Å, degrees): 6.7486 6.7486 11.9225 90.00 90.00 90.00
Last column: nearest neighbours and their distance in Å.
Space group P4_2/mnm (No. 136)
Symmetry-distinct sites (fractional):
Pa 0.0000 0.0000 0.1739 [4 per cell]  6 Se 2.74-2.81
Ag 0.0000 0.0000 0.5000 [2 per cell]  6 Se 2.76-2.98
Se 0.1883 0.1883 0.0000 [4 per cell]  2 Pa 2.74, 1 Ag 2.98
Se 0.2055 0.2055 0.3369 [8 per cell]  2 Pa 2.76-2.81, 1 Ag 2.76

***

CuReAgP2 | PBE | relaxed

Its energy of formation from the pure elements is 1.796 eV per atom.

Lattice parameters (Å, degrees): 4.6815 4.6815 4.5559 90.00 90.00 90.00
Last column: nearest neighbours and their distance in Å.
Space group P4/mmm (No. 123)
Symmetry-distinct sites (fractional):
Cu 0.0000 0.0000 0.0000 [1 per cell]  2 Ag 2.28
Re 0.5000 0.5000 0.0000 [1 per cell]  8 P 3.27, 4 Cu 3.31
Ag 0.0000 0.0000 0.5000 [1 per cell]  2 Cu 2.28, 4 P 2.34
P 0.0000 0.5000 0.5000 [2 per cell]  2 Ag 2.34

***

Nd3HoEr6 | PBE | relaxed

Its energy of formation from the pure elements is 0.151 eV per atom.

Lattice parameters (Å, degrees): 10.9591 18.8377 6.2912 90.00 90.00 90.00
Last column: nearest neighbours and their distance in Å.
Space group Cmc2_1 (No. 36)
Symmetry-distinct sites (fractional):
Nd 0.0000 0.1109 0.0000 [4 per cell]  7 Er 3.43-3.77, 1 Ho 3.61, 2 Nd 3.63
Nd 0.1746 0.3877 0.6057 [8 per cell]  1 Ho 3.25, 6 Er 3.29-3.53, 1 Nd 3.63
Ho 0.0000 0.3012 0.9332 [4 per cell]  3 Nd 3.25-3.61, 7 Er 3.28-3.52
Er 0.0000 0.2260 0.4217 [4 per cell]  4 Er 3.19-3.38, 2 Ho 3.38-3.52, 1 Nd 3.43
Er 0.0000 0.4584 0.1845 [4 per cell]  1 Ho 3.36, 4 Nd 3.51-3.53, 2 Er 3.51
Er 0.1659 0.0465 0.5241 [8 per cell]  4 Er 3.38-3.64, 4 Nd 3.39-3.71
Er 0.2426 0.2101 0.6977 [8 per cell]  5 Er 3.19-3.49, 2 Ho 3.28-3.49, 2 Nd 3.29-3.48

***

Ca2TeBr | PBE | relaxed

The energy relative to the elements, uncorrected is -1.4065 eV per atom.

Lattice parameters (Å, degrees): 4.3349 4.3349 23.7707 90.00 90.00 120.00
Last column: nearest neighbours and their distance in Å.
Space group R3m (No. 160, hexagonal axes)
Symmetry-distinct sites (fractional):
Ca 0.0000 0.0000 0.0000 [3 per cell]  3 Te 3.07, 3 Br 3.14
Ca 0.0000 0.0000 0.1798 [3 per cell]  3 Te 3.13, 3 Br 3.45
Te 0.0000 0.0000 0.5922 [3 per cell]  6 Ca 3.07-3.13
Br 0.0000 0.0000 0.4131 [3 per cell]  6 Ca 3.14-3.45